CaRhBr2 after structural relaxation. Source: the Alexandria database, functional GGA-PBE.

Values from the calculation:
The calculation puts the formation energy without anion corrections at -2.892 eV/f.u. The space-group type is No. 6. Its density of states at the Fermi level is 0.300 states/eV/atom. Its uncorrected energy is -0.2865 Ry/atom.

The structure in POSCAR format:
```
CaRhBr2
1.0
4.167 0.000 0.000
0.000 4.586 0.000
-1.795 0.000 5.162
Ca Rh Br
1 1 2
Direct
0.000 0.000 0.000
0.463 0.500 0.312
0.435 0.500 0.808
0.683 0.000 0.398
```

=====

TaI2NF after structural relaxation. Source: the Alexandria database, functional GGA-PBE.

Values from the calculation:
The calculation puts the formation energy without anion corrections at 7.200 eV/f.u. The space-group type is No. 123. Its density of states at the Fermi level is 0.812 states/eV/atom. Its uncorrected energy is -0.2638 Ry/atom.

The structure in POSCAR format:
```
TaI2NF
1.0
5.453 0.000 0.000
0.000 5.453 0.000
0.000 0.000 3.530
Ta I N F
1 2 1 1
Direct
0.000 0.000 0.000
0.000 0.500 0.500
0.500 0.000 0.500
0.500 0.500 0.000
0.500 0.500 0.500
```

=====

PdPtIO2 after structural relaxation. Source: the Alexandria database, functional GGA-PBE.

Values from the calculation:
The calculation puts the formation energy without anion corrections at 1.789 eV/f.u. The space-group type is No. 123. Its density of states at the Fermi level is 1.419 states/eV/atom. Its uncorrected energy is -0.3074 Ry/atom.

The structure in POSCAR format:
```
PdPtIO2
1.0
3.826 0.000 0.000
0.000 3.826 0.000
0.000 0.000 8.115
Pd Pt I O
1 1 1 2
Direct
0.000 0.000 0.000
0.500 0.500 0.500
0.000 0.000 0.500
0.000 0.500 0.000
0.500 0.000 0.000
```

=====

ReTcRu after structural relaxation. Source: the Alexandria database, functional GGA-PBE.

Values from the calculation:
Its formation energy is 75 meV per atom. The space-group type is No. 12. Its density of states at the Fermi level is 1.221 states/eV/atom. Its uncorrected energy is -0.7807 Ry/atom.

The structure in POSCAR format:
```
ReTcRu
1.0
7.124 -1.366 0.000
7.124 1.366 0.000
-1.563 0.000 4.485
Re Tc Ru
2 2 2
Direct
0.086 0.086 0.258
0.914 0.914 0.742
0.418 0.418 0.254
0.582 0.582 0.746
0.250 0.250 0.744
0.750 0.750 0.256
```

=====

ΔE to the lowest computed polymorph in eV per formula unit, matching the order above: 0.381, 7.816, 1.672, 0.076